Tb4Dy11Er9 (PBE, optimized geometry); symmetry = Cmmm (65); VASP energy = -4.5393 eV/atom; energy of formation from the pure elements = 0.053 eV/atom; spin magnetization = 0.00 μB per cell
1.0
8.272 -12.475 0.000
8.272 12.475 0.000
0.000 0.000 3.635
Tb Dy Er
4 11 9
Cartesian
2.563 2.516 0.000 Tb
2.563 -2.516 0.000 Tb
13.981 2.516 0.000 Tb
13.981 -2.516 0.000 Tb
4.534 4.519 1.817 Dy
8.272 9.151 1.817 Dy
3.451 0.000 1.817 Dy
8.272 3.981 1.817 Dy
4.534 -4.519 1.817 Dy
8.272 0.000 1.817 Dy
12.010 4.519 1.817 Dy
8.272 -3.981 1.817 Dy
13.093 0.000 1.817 Dy
8.272 -9.151 1.817 Dy
12.010 -4.519 1.817 Dy
0.000 0.000 0.000 Er
6.588 6.626 0.000 Er
5.945 1.814 0.000 Er
9.956 6.626 0.000 Er
5.945 -1.814 0.000 Er
10.599 1.814 0.000 Er
6.588 -6.626 0.000 Er
10.599 -1.814 0.000 Er
9.956 -6.626 0.000 Er

GeRuRh (PBE, optimized geometry); symmetry = I4/mmm (139); VASP energy = -7.0650 eV/atom; energy of formation from the pure elements = 0.017 eV/atom; spin magnetization = 0.00 μB per cell; distance to the lowest polymorph of the same formula = 255 meV per atom
1.0
-1.476 1.476 10.291
1.476 -1.476 10.291
1.476 1.476 -10.291
Ge Ru Rh
2 2 2
Cartesian
0.000 0.000 2.656 Ge
0.000 0.000 17.925 Ge
0.000 0.000 9.103 Ru
0.000 0.000 11.478 Ru
0.000 0.000 6.135 Rh
0.000 0.000 14.447 Rh

CsNaLi2 (PBE, optimized geometry); symmetry = Fm-3m (225); VASP energy = -1.2536 eV/atom; energy of formation from the pure elements = 0.246 eV/atom; spin magnetization = 0.00 μB per cell; distance to the lowest polymorph of the same formula = 22 meV per atom
1.0
0.000 4.507 4.507
4.507 0.000 4.507
4.507 4.507 0.000
Cs Na Li
1 1 2
Cartesian
0.000 0.000 0.000 Cs
4.507 4.507 4.507 Na
2.253 2.253 2.253 Li
6.760 6.760 6.760 Li

CeZnGaAg (PBE, optimized geometry); symmetry = F-43m (216); VASP energy = -3.5614 eV/atom; energy of formation from the pure elements = -0.290 eV/atom; spin magnetization = 0.62 μB per cell
1.0
0.000 3.430 3.430
3.430 0.000 3.430
3.430 3.430 0.000
Ce Zn Ga Ag
1 1 1 1
Cartesian
0.000 0.000 0.000 Ce
5.145 5.145 5.145 Zn
1.715 1.715 1.715 Ga
3.430 3.430 3.430 Ag

Ga2AgAu4 (PBE, optimized geometry); symmetry = C2/m (12); VASP energy = -3.2178 eV/atom; energy of formation from the pure elements = -0.073 eV/atom; spin magnetization = 0.00 μB per cell; distance to the lowest polymorph of the same formula = 39 meV per atom
1.0
3.740 -3.610 0.000
3.740 3.610 0.000
-2.837 0.000 4.784
Ga Ag Au
2 1 4
Cartesian
-0.504 0.000 1.301 Ga
5.147 0.000 3.483 Ga
2.322 0.000 2.392 Ag
-0.064 1.431 3.728 Au
-0.064 -1.431 3.728 Au
4.707 1.431 1.056 Au
4.707 -1.431 1.056 Au

Li4Cu (PBE, optimized geometry); symmetry = Cmmm (65); VASP energy = -2.3199 eV/atom; energy of formation from the pure elements = 0.030 eV/atom; spin magnetization = 0.00 μB per cell; distance to the lowest polymorph of the same formula = 27 meV per atom
1.0
2.108 -7.130 0.000
2.108 7.130 0.000
0.000 0.000 2.654
Li Cu
4 1
Cartesian
2.108 5.845 0.000 Li
2.108 2.708 1.327 Li
2.108 -2.708 1.327 Li
2.108 -5.845 0.000 Li
2.108 0.000 1.327 Cu

LiAc2Pd2O6 (PBE, optimized geometry); symmetry = R-3m (166); VASP energy = -6.0988 eV/atom; formation energy from raw total energies = -1529 meV per atom; spin magnetization = 0.00 μB per cell
1.0
2.959 1.709 5.471
-2.959 1.709 5.471
0.000 -3.417 5.471
Li Ac Pd O
1 2 2 6
Cartesian
0.000 0.000 0.000 Li
0.000 0.000 3.565 Ac
0.000 0.000 12.849 Ac
0.000 0.000 6.774 Pd
0.000 0.000 9.640 Pd
-1.688 -0.975 9.421 O
0.000 -1.950 6.993 O
-1.688 0.975 6.993 O
1.688 -0.975 9.421 O
0.000 1.950 9.421 O
1.688 0.975 6.993 O

Sc10Sb4C3 (PBE, optimized geometry); symmetry = I4/mmm (139); VASP energy = -7.1338 eV/atom; formation energy from raw total energies = -812 meV per atom; spin magnetization = 0.00 μB per cell
1.0
-2.251 2.251 16.455
2.251 -2.251 16.455
2.251 2.251 -16.455
Sc Sb C
10 4 3
Cartesian
2.251 0.000 0.000 Sc
0.000 0.000 2.267 Sc
2.251 0.000 4.510 Sc
0.000 0.000 6.799 Sc
2.251 0.000 11.945 Sc
0.000 2.251 0.000 Sc
0.000 2.251 4.510 Sc
0.000 0.000 26.111 Sc
0.000 2.251 11.945 Sc
0.000 0.000 30.642 Sc
0.000 0.000 9.801 Sb
0.000 0.000 14.198 Sb
0.000 0.000 18.711 Sb
0.000 0.000 23.109 Sb
0.000 0.000 0.000 C
0.000 0.000 4.554 C
0.000 0.000 28.356 C

Please write out number 1 again, unchanged.
Tb4Dy11Er9 (PBE, optimized geometry); symmetry = Cmmm (65); VASP energy = -4.5393 eV/atom; energy of formation from the pure elements = 0.053 eV/atom; spin magnetization = 0.00 μB per cell
1.0
8.272 -12.475 0.000
8.272 12.475 0.000
0.000 0.000 3.635
Tb Dy Er
4 11 9
Cartesian
2.563 2.516 0.000 Tb
2.563 -2.516 0.000 Tb
13.981 2.516 0.000 Tb
13.981 -2.516 0.000 Tb
4.534 4.519 1.817 Dy
8.272 9.151 1.817 Dy
3.451 0.000 1.817 Dy
8.272 3.981 1.817 Dy
4.534 -4.519 1.817 Dy
8.272 0.000 1.817 Dy
12.010 4.519 1.817 Dy
8.272 -3.981 1.817 Dy
13.093 0.000 1.817 Dy
8.272 -9.151 1.817 Dy
12.010 -4.519 1.817 Dy
0.000 0.000 0.000 Er
6.588 6.626 0.000 Er
5.945 1.814 0.000 Er
9.956 6.626 0.000 Er
5.945 -1.814 0.000 Er
10.599 1.814 0.000 Er
6.588 -6.626 0.000 Er
10.599 -1.814 0.000 Er
9.956 -6.626 0.000 Er